# PBE Tm6C2O, optimized geometry
# DOS at the Fermi energy in states/eV/f.u.: 5.54
data_Tm6C2O
_cell_length_a 6.0530
_cell_length_b 6.0530
_cell_length_c 17.6151
_cell_angle_alpha 90.00
_cell_angle_beta 90.00
_cell_angle_gamma 120.00
_symmetry_space_group_name_H-M 'R -3'
_symmetry_Int_Tables_number 148
_symmetry_space_group_name_Hall '-R 3'
loop_
_atom_site_label
_atom_site_fract_x
_atom_site_fract_y
_atom_site_fract_z
_atom_site_occupancy
Tm1 0.0111 0.3587 0.0803 1
C1 0.0000 0.0000 0.3277 1
O1 0.0000 0.0000 0.5000 1



## Tm2CO (PBE)

Data for a relaxed Tm2CO crystal.

CIF file:
```
data_Tm2CO
_cell_length_a 3.7481
_cell_length_b 3.7481
_cell_length_c 19.6682
_cell_angle_alpha 90.00
_cell_angle_beta 90.00
_cell_angle_gamma 120.00
_symmetry_space_group_name_H-M 'R -3 m'
_symmetry_Int_Tables_number 166
_symmetry_space_group_name_Hall '-R 3 2"'
loop_
_atom_site_label
_atom_site_fract_x
_atom_site_fract_y
_atom_site_fract_z
_atom_site_occupancy
Tm1 0.0000 0.0000 0.1025 1
C1 0.0000 0.0000 0.5000 1
O1 0.0000 0.0000 0.0000 1
```



# PBE Tm2CO, optimized geometry
# DOS at the Fermi energy in states/eV/f.u.: 0.03
data_Tm2CO
_cell_length_a 3.4154
_cell_length_b 3.4154
_cell_length_c 17.6774
_cell_angle_alpha 90.00
_cell_angle_beta 90.00
_cell_angle_gamma 120.00
_symmetry_space_group_name_H-M 'R 3 m'
_symmetry_Int_Tables_number 160
_symmetry_space_group_name_Hall 'R 3 -2"'
loop_
_atom_site_label
_atom_site_fract_x
_atom_site_fract_y
_atom_site_fract_z
_atom_site_occupancy
Tm1 0.0000 0.0000 0.0000 1
Tm2 0.0000 0.0000 0.1792 1
C1 0.0000 0.0000 0.5873 1
O1 0.0000 0.0000 0.4139 1



It is found that the raw formation energy values, taken in the order of the records, are -0.810 -1.351 -1.640 eV per atom.